Compound: NiHgPt2
Source: Alexandria
Functional: PBE
Structure: relaxed

Values from the calculation:
As for the density of states at the Fermi level: 5.33 states/eV/f.u. The formation energy from the elements comes out at 0.067 eV per atom.

a b c (Å): 2.857 2.857 7.713
angles (deg): 90.00 90.00 90.00
Space group P4mm (No. 99)
Asymmetric unit:
Ni 0.000 0.000 0.000 (multiplicity 1)
Hg 0.500 0.500 0.753 (multiplicity 1)
Pt 0.000 0.000 0.472 (multiplicity 1)
Pt 0.500 0.500 0.214 (multiplicity 1)

---

Compound: Be2Tl2HgCl6
Source: Alexandria
Functional: PBE
Structure: relaxed

Values from the calculation:
The uncorrected formation energy comes out at -12.35 eV/f.u. As for the density of states at the Fermi level: 0.00 states/eV/f.u.

a b c (Å): 7.417 7.723 8.186
angles (deg): 79.73 70.98 62.04
Space group P-1 (No. 2)
Asymmetric unit:
Be 0.215 0.233 0.072 (multiplicity 2)
Tl 0.170 0.769 0.234 (multiplicity 2)
Hg 0.500 0.500 0.500 (multiplicity 1)
Cl 0.119 0.192 0.317 (multiplicity 2)
Cl 0.253 0.048 0.917 (multiplicity 2)
Cl 0.289 0.446 0.972 (multiplicity 2)

---

Compound: Nd6Mg2Pd
Source: Alexandria
Functional: PBE
Structure: relaxed

Values from the calculation:
As for the density of states at the Fermi level: 11.01 states/eV/f.u. The formation energy from the elements comes out at -0.079 eV per atom.

a b c (Å): 6.534 8.304 11.241
angles (deg): 90.00 112.65 90.00
Space group P2_1/c (No. 14)
Asymmetric unit:
Nd 0.108 0.041 0.251 (multiplicity 4)
Nd 0.151 0.709 0.035 (multiplicity 4)
Nd 0.377 0.156 0.016 (multiplicity 4)
Mg 0.381 0.091 0.726 (multiplicity 4)
Pd 0.500 0.000 0.500 (multiplicity 2)

---

Compound: KSr2H2
Source: Alexandria
Functional: PBE
Structure: relaxed

Values from the calculation:
The offset from the most stable computed form comes out at 0 meV/atom. As for the density of states at the Fermi level: 2.65 states/eV/f.u.

a b c (Å): 4.151 4.151 19.883
angles (deg): 90.00 90.00 90.00
Space group I4/mmm (No. 139)
Asymmetric unit:
K 0.000 0.000 0.000 (multiplicity 2)
Sr 0.000 0.000 0.317 (multiplicity 4)
H 0.000 0.500 0.250 (multiplicity 4)

---

Compound: LiBe2Tc
Source: Alexandria
Functional: PBE
Structure: relaxed

Values from the calculation:
The offset from the most stable computed form comes out at 111 meV/atom. As for the density of states at the Fermi level: 1.12 states/eV/f.u. The formation energy from the elements comes out at 0.060 eV per atom.

a b c (Å): 2.533 4.106 8.339
angles (deg): 90.00 90.00 90.00
Space group Imm2 (No. 44)
Asymmetric unit:
Li 0.000 0.000 0.000 (multiplicity 2)
Be 0.000 0.000 0.457 (multiplicity 2)
Be 0.000 0.500 0.743 (multiplicity 2)
Tc 0.000 0.500 0.218 (multiplicity 2)

---

Compound: PdRhN2
Source: Alexandria
Functional: PBE
Structure: relaxed

Values from the calculation:
The uncorrected formation energy comes out at 2.88 eV/f.u. The offset from the most stable computed form comes out at 36 meV/atom. As for the density of states at the Fermi level: 2.12 states/eV/f.u.

a b c (Å): 4.874 4.874 8.677
angles (deg): 90.00 90.00 90.00
Space group I-42d (No. 122)
Asymmetric unit:
Pd 0.000 0.000 0.000 (multiplicity 4)
Rh 0.000 0.000 0.500 (multiplicity 4)
N 0.222 0.250 0.625 (multiplicity 8)